Entry 1:
# PBE-GGA ThMg2Pa, optimized geometry
data_ThMg2Pa
_symmetry_space_group_name_H-M 'P 1'
_symmetry_Int_Tables_number 1
_cell_length_a 3.205
_cell_length_b 3.205
_cell_length_c 12.600
_cell_angle_alpha 82.69
_cell_angle_beta 82.69
_cell_angle_gamma 60.00
loop_
_symmetry_equiv_pos_as_xyz
'x,y,z'
loop_
_atom_site_label
_atom_site_type_symbol
_atom_site_fract_x
_atom_site_fract_y
_atom_site_fract_z
_atom_site_occupancy
Mg1 Mg 0.087 0.087 0.740 1
Mg2 Mg 0.913 0.913 0.260 1
Th1 Th 0.500 0.500 0.500 1
Pa1 Pa 0.000 0.000 0.000 1
# Energy of formation from the pure elements ... 0.350 eV per atom
# Total energy ... -4.68 eV/atom
# Fermi-level density of states ... 5.9 states/eV/cell

***

Entry 2:
# PBE-GGA MnRe3, optimized geometry
data_MnRe3
_symmetry_space_group_name_H-M 'P 1'
_symmetry_Int_Tables_number 1
_cell_length_a 8.931
_cell_length_b 2.738
_cell_length_c 2.738
_cell_angle_alpha 120.00
_cell_angle_beta 98.82
_cell_angle_gamma 81.18
loop_
_symmetry_equiv_pos_as_xyz
'x,y,z'
loop_
_atom_site_label
_atom_site_type_symbol
_atom_site_fract_x
_atom_site_fract_y
_atom_site_fract_z
_atom_site_occupancy
Re1 Re 0.759 0.747 0.253 1
Re2 Re 0.241 0.253 0.747 1
Re3 Re 0.500 0.500 0.500 1
Mn1 Mn 0.000 0.000 0.000 1
# Energy of formation from the pure elements ... 0.124 eV per atom
# Total energy ... -11.50 eV/atom
# Fermi-level density of states ... 4.1 states/eV/cell

***

Entry 3:
# PBE-GGA Ce2PmWN4, optimized geometry
data_Ce2PmWN4
_symmetry_space_group_name_H-M 'P 1'
_symmetry_Int_Tables_number 1
_cell_length_a 3.465
_cell_length_b 6.243
_cell_length_c 11.912
_cell_angle_alpha 90.00
_cell_angle_beta 90.00
_cell_angle_gamma 106.11
loop_
_symmetry_equiv_pos_as_xyz
'x,y,z'
loop_
_atom_site_label
_atom_site_type_symbol
_atom_site_fract_x
_atom_site_fract_y
_atom_site_fract_z
_atom_site_occupancy
N1 N 0.733 0.467 0.868 1
N2 N 0.000 0.000 0.500 1
N3 N 0.733 0.467 0.632 1
N4 N 0.000 0.000 0.000 1
N5 N 0.552 0.104 0.250 1
N6 N 0.267 0.533 0.132 1
N7 N 0.448 0.896 0.750 1
N8 N 0.267 0.533 0.368 1
Pm1 Pm 0.878 0.756 0.250 1
Pm2 Pm 0.122 0.244 0.750 1
W1 W 0.857 0.713 0.750 1
W2 W 0.143 0.287 0.250 1
Ce1 Ce 0.633 0.266 0.042 1
Ce2 Ce 0.633 0.266 0.458 1
Ce3 Ce 0.367 0.734 0.542 1
Ce4 Ce 0.367 0.734 0.958 1
# Total energy ... -8.90 eV/atom
# Fermi-level density of states ... 12.9 states/eV/cell